1:
IrAu3C: optimized geometry, PBE.

abc: 5.0449 5.0449 5.0449
angles: 90.00 90.00 90.00
Last column: nearest neighbours and their distance in Å.
Fractional positions:
C 0.5000 0.5000 0.5000  12 Au 3.57
Ir 0.0000 0.0000 0.0000  6 Au 2.52
Au 0.5000 0.0000 0.0000  2 Ir 2.52
Au 0.0000 0.0000 0.5000  2 Ir 2.52
Au 0.0000 0.5000 0.0000  2 Ir 2.52

Output
Space-group type: No. 221
Total magnetization, μB per formula unit: 1.6

---

2:
IrAu3C: optimized geometry, PBE.

abc: 4.2794 4.2794 4.2794
angles: 90.00 90.00 90.00
Last column: nearest neighbours and their distance in Å.
Fractional positions:
Au 0.5000 0.0000 0.0000  2 C 2.14
Au 0.0000 0.0000 0.5000  2 C 2.14
Ir 0.5000 0.5000 0.5000  12 Au 3.03
C 0.0000 0.0000 0.0000  6 Au 2.14
Au 0.0000 0.5000 0.0000  2 C 2.14

Output
Space-group type: No. 221
Total magnetization, μB per formula unit: 0.0

---

Name the most stable of them. 2.

---

1:
Ir3AuC: optimized geometry, PBE.

abc: 4.8846 4.8846 4.8846
angles: 90.00 90.00 90.00
Last column: nearest neighbours and their distance in Å.
Fractional positions:
C 0.5000 0.5000 0.5000  12 Ir 3.45
Ir 0.0000 0.0000 0.5000  2 Au 2.44
Au 0.0000 0.0000 0.0000  6 Ir 2.44
Ir 0.5000 0.0000 0.0000  2 Au 2.44
Ir 0.0000 0.5000 0.0000  2 Au 2.44

Output
Space-group type: No. 221
Total magnetization, μB per formula unit: 3.5

---

2:
Ir3AuC: optimized geometry, PBE.

abc: 4.1313 4.1313 4.1313
angles: 90.00 90.00 90.00
Last column: nearest neighbours and their distance in Å.
Fractional positions:
Ir 0.5000 0.0000 0.0000  2 C 2.07
C 0.0000 0.0000 0.0000  6 Ir 2.07
Ir 0.0000 0.5000 0.0000  2 C 2.07
Ir 0.0000 0.0000 0.5000  2 C 2.07
Au 0.5000 0.5000 0.5000  12 Ir 2.92

Output
Space-group type: No. 221
Total magnetization, μB per formula unit: 0.0

---

Name the most stable of them. 2.